Here is a geometry-optimized TaTcH3 structure from the Alexandria database. Energies are from GGA-PBEsol.

Calculated values
The calculation puts the final energy at -6.22 eV per atom. The crystal system is cubic. For the volume, the calculation gives 8.4 Å³/atom. The energy above the lowest structure with this stoichiometry comes out at 0.275 eV/atom.

Lattice parameters (Å, degrees): 3.476 3.476 3.476 90.00 90.00 90.00
Atoms (fractional coordinates):
H 0.500 0.000 0.000
H 0.000 0.500 0.000
H 0.000 0.000 0.500
Ta 0.000 0.000 0.000
Tc 0.500 0.500 0.500